A relaxed LiZn2Ru crystal, computed with PBE.

Results
- Crystal system: orthorhombic
- Total DFT energy (no corrections): -3.078 eV per atom
- D(E_F): 3.10 states/eV per cell
- M_tot: 0.0 Bohr magnetons per cell
- Volume: 59.5 Å³ per cell

Geometry as POSCAR:
```
LiZn2Ru
1.0
-1.279 2.294 5.068
1.279 -2.294 5.068
1.279 2.294 -5.068
Li Zn Ru
1 2 1
Cartesian
0.000 0.000 0.000
0.000 0.000 2.505
0.000 0.000 7.631
0.000 0.000 5.068
```